Here is a relaxed LaMg2Ag2 crystal from Alexandria. Energies are from GGA-PBEsol.

Cell and atoms, written as CIF:
```
data_LaMg2Ag2
_chemical_formula_sum 'La2 Mg4 Ag4'
_symmetry_space_group_name_H-M 'I 4/m m m'
_symmetry_Int_Tables_number 139
_symmetry_space_group_name_Hall '-I 4 2'
_cell_length_a 4.2320
_cell_length_b 4.2320
_cell_length_c 12.8997
_cell_angle_alpha 90.00
_cell_angle_beta 90.00
_cell_angle_gamma 90.00
loop_
_atom_site_label
_atom_site_fract_x
_atom_site_fract_y
_atom_site_fract_z
La1 0.0000 0.0000 0.0000
Mg1 0.0000 0.5000 0.2500
Ag1 0.0000 0.0000 0.3934
```

Results
Calculated formation energy = -0.2254 eV per atom
Spin magnetization = 0.000 μB/atom